Entry 1:
DFT (SCAN) results for a crystal of CaH3Pt relaxed with PBEsol.

Summary:
Total magnetization = 0.000 μB per cell
Energy = -18.70 eV per atom

a b c (Å): 3.6873 3.6873 3.6873
angles (deg): 90.00 90.00 90.00
Space group Pm-3m (No. 221)
Inequivalent atoms, fractional coordinates:
Ca (0.0000, 0.0000, 0.0000)
H (0.0000, 0.5000, 0.5000)
Pt (0.5000, 0.5000, 0.5000)

Entry 2:
DFT (SCAN) results for a crystal of ZnIn2W relaxed with PBEsol.

Summary:
Total magnetization = 0.000 μB per cell
ΔH_f (0 K) = 0.4800 eV/atom

a b c (Å): 3.0309 3.0309 27.5952
angles (deg): 90.00 90.00 120.00
Space group R-3m (No. 166, hexagonal axes)
Inequivalent atoms, fractional coordinates:
Zn (0.0000, 0.0000, 0.0000)
In (0.0000, 0.0000, 0.2509)
W (0.0000, 0.0000, 0.5000)

Entry 3:
DFT (SCAN) results for a crystal of Ba3NdB9O18 relaxed with PBEsol.

Summary:
Total magnetization = 0.000 μB per cell
Formation energy from raw total energies = -2.941 eV per atom

a b c (Å): 7.2335 7.2335 17.0860
angles (deg): 90.00 90.00 120.00
Space group P6_3/m (No. 176)
Inequivalent atoms, fractional coordinates:
Ba (0.0000, 0.0000, 0.2500)
Ba (0.3333, 0.6667, 0.1325)
Nd (0.0000, 0.0000, 0.0000)
B (0.1165, 0.6218, 0.7500)
B (0.1610, 0.4513, 0.5861)
O (0.0032, 0.7477, 0.0866)
O (0.0820, 0.4132, 0.2500)
O (0.1245, 0.6252, 0.5848)
O (0.1668, 0.4575, 0.7500)

Entry 4:
DFT (SCAN) results for a crystal of AgSbRh relaxed with PBEsol.

Summary:
Total magnetization = 0.000 μB per cell
Formation energy from raw total energies = 0.017 eV per atom

a b c (Å): 6.1624 6.1624 6.1624
angles (deg): 90.00 90.00 90.00
Space group F-43m (No. 216)
Inequivalent atoms, fractional coordinates:
Ag (0.0000, 0.0000, 0.0000)
Sb (0.2500, 0.2500, 0.2500)
Rh (0.0000, 0.0000, 0.5000)

Entry 5:
DFT (SCAN) results for a crystal of Co3OF5 relaxed with PBEsol.

Summary:
Energy above the lowest structure with this stoichiometry = 9 meV per atom
Total magnetization = 15.885 μB per cell
Formation energy from raw total energies = -1.986 eV per atom

a b c (Å): 5.4600 5.4878 7.2742
angles (deg): 71.70 71.37 70.56
Space group P-1 (No. 2)
Inequivalent atoms, fractional coordinates:
Co (0.0000, 0.0000, 0.0000)
Co (0.0000, 0.0000, 0.5000)
Co (0.3255, 0.3172, 0.1766)
Co (0.3766, 0.3000, 0.6620)
O (0.3367, 0.9835, 0.3378)
F (0.0617, 0.6115, 0.6665)
F (0.1118, 0.0887, 0.6983)
F (0.2442, 0.2237, 0.9657)
F (0.3003, 0.6881, 0.0052)
F (0.4278, 0.4323, 0.3646)

Entry 6:
DFT (SCAN) results for a crystal of KTlSb2 relaxed with PBEsol.

Summary:
Energy above the lowest structure with this stoichiometry = 34 meV per atom
Total magnetization = 0.000 μB per cell
Formation energy from raw total energies = -0.173 eV per atom

a b c (Å): 4.6464 4.6464 5.3092
angles (deg): 90.00 90.00 90.00
Space group P4/mmm (No. 123)
Inequivalent atoms, fractional coordinates:
K (0.0000, 0.0000, 0.0000)
Tl (0.5000, 0.5000, 0.0000)
Sb (0.0000, 0.5000, 0.5000)

Entry 7:
DFT (SCAN) results for a crystal of ZrAg3 relaxed with PBEsol.

Summary:
Total magnetization = 0.000 μB per cell
ΔH_f (0 K) = 0.0295 eV/atom

a b c (Å): 2.7990 4.7758 5.3785
angles (deg): 90.00 96.32 90.00
Space group P2/m (No. 10)
Inequivalent atoms, fractional coordinates:
Zr (0.0000, 0.0000, 0.0000)
Ag (0.3497, 0.5000, 0.7447)
Ag (0.5000, 0.0000, 0.5000)

Entry 8:
DFT (SCAN) results for a crystal of KTl2Cd2 relaxed with PBEsol.

Summary:
Energy above the lowest structure with this stoichiometry = 45 meV per atom
Total magnetization = 0.000 μB per cell
ΔH_f (0 K) = -0.0622 eV/atom

a b c (Å): 9.2593 9.2593 3.2547
angles (deg): 90.00 90.00 90.00
Space group P4/mbm (No. 127)
Inequivalent atoms, fractional coordinates:
K (0.0000, 0.0000, 0.0000)
Tl (0.1427, 0.3573, 0.0000)
Cd (0.1506, 0.6506, 0.5000)

- The highest total magnetization belongs to which entry?
  Co3OF5